Record 1
An optimized crystal structure of FeBiO3, computed with GGA+U.

Computed properties:
- V (Å³ per atom) = 15.5
- density of states at the Fermi level (states/eV per cell) = 0.730
- electronic total energy (eV/atom) = -5.87
- SG = No. 51

```
FeBiO3
1.0
6.9268 0.0000 0.0000
0.0000 3.1182 0.0000
0.0000 0.0000 7.1748
Fe Bi O
2 2 6
Cartesian
1.7317 0.0000 1.5844
5.1951 0.0000 5.5904
1.7317 1.5591 5.2459
5.1951 1.5591 1.9290
0.5425 1.5591 1.9111
1.7317 0.0000 6.6892
2.9210 1.5591 1.9111
4.0059 1.5591 5.2637
5.1951 0.0000 0.4857
6.3844 1.5591 5.2637
```

Record 2
An optimized crystal structure of FeBi2O6, computed with GGA+U.

Computed properties:
- V (Å³ per atom) = 13.5
- density of states at the Fermi level (states/eV per cell) = 6.341
- electronic total energy (eV/atom) = -5.85
- SG = No. 150

```
FeBi2O6
1.0
9.1864 0.0000 0.0000
-4.5932 7.9556 0.0000
0.0000 0.0000 4.9759
Fe Bi O
3 6 18
Cartesian
0.0000 0.0000 0.0000
0.0000 5.3038 2.4715
4.5932 2.6519 2.5044
-1.6958 2.9372 0.0000
-3.2321 5.5982 2.4880
1.3611 2.3575 2.4880
3.3916 0.0000 0.0000
2.8974 5.0184 0.0000
6.4642 0.0000 2.4880
-0.1475 1.6609 1.1336
-3.0810 7.2529 1.1336
-1.5686 4.7053 1.3618
1.5122 0.7027 3.8423
-0.0107 3.6113 3.5976
-1.4604 6.1592 3.5976
1.3026 4.2445 1.3618
3.1328 1.7964 1.3783
0.2660 6.9614 1.3618
3.0246 3.2503 3.6141
1.4711 6.1407 3.5976
4.8592 0.9942 3.6141
4.5825 4.3443 1.3783
6.0642 1.8149 1.3783
3.2286 6.9974 1.1336
5.8958 3.7111 3.6141
4.4457 6.2947 3.8423
7.8217 0.9582 3.8423
```